Ti6H3O | PBE-GGA | optimized geometry

D(E_F): 0.792 states/eV per atom
DFT total energy: -6.772 eV/atom

Cell lengths 6.6193, 6.6193, 5.5313 Å; angles 90.00, 90.00, 99.26 degrees
Atoms (fractional coordinates):
Ti (0.0010, 0.9990, 0.5000)
Ti (0.0646, 0.5701, 0.2029)
Ti (0.2719, 0.7281, 0.7212)
Ti (0.3205, 0.3354, 0.9401)
Ti (0.3354, 0.3205, 0.4401)
Ti (0.4299, 0.9354, 0.2029)
Ti (0.5701, 0.0646, 0.7029)
Ti (0.6646, 0.6795, 0.9401)
Ti (0.6795, 0.6646, 0.4401)
Ti (0.7281, 0.2719, 0.2212)
Ti (0.9354, 0.4299, 0.7029)
Ti (0.9990, 0.0010, 0.0000)
H (0.0970, 0.2598, 0.2046)
H (0.2598, 0.0970, 0.7046)
H (0.4655, 0.5345, 0.6898)
H (0.5345, 0.4655, 0.1898)
H (0.7402, 0.9030, 0.2046)
H (0.9030, 0.7402, 0.7046)
O (0.1887, 0.8113, 0.0406)
O (0.8113, 0.1887, 0.5406)

---

AcAl2GeH2 | PBE-GGA | optimized geometry

D(E_F): 0.248 states/eV per atom
DFT total energy: -4.019 eV/atom

Cell lengths 6.1017, 5.8045, 6.4889 Å; angles 90.00, 116.95, 90.00 degrees
Atoms (fractional coordinates):
Ac (0.2399, 0.2500, 0.4854)
Ac (0.7601, 0.7500, 0.5146)
Al (0.2585, 0.5039, 0.9837)
Al (0.2585, 0.9961, 0.9837)
Al (0.7415, 0.0039, 0.0163)
Al (0.7415, 0.4961, 0.0163)
Ge (0.1446, 0.7500, 0.2675)
Ge (0.8554, 0.2500, 0.7325)
H (0.3727, 0.2500, 0.1795)
H (0.4415, 0.2500, 0.9011)
H (0.5585, 0.7500, 0.0989)
H (0.6273, 0.7500, 0.8205)